1.
Computed, not measured: an optimized crystal structure of Li2MoOs at the GGA-PBE level of DFT.

a = 5.3198 Å, b = 5.3198 Å, c = 5.3198 Å
α = 146.48°, β = 134.82°, γ = 57.42°
Element x y z (fractional)
Li  0.0067  0.0067  0.0000
Mo  0.7500  0.2500  0.5000
Li  0.4933  0.4933  0.0000
Os  0.2500  0.7500  0.5000

Output
- Energy above the most stable polymorph in this dataset: 131.1 meV per atom
- SG: Immm, No. 71
- Magnetization: 0.00 μB per atom
- ΔH_f (0 K): 0.279 eV per atom

2.
Computed, not measured: an optimized crystal structure of MgTlCl at the GGA-PBE level of DFT.

a = 4.9178 Å, b = 4.9178 Å, c = 3.7367 Å
α = 90.00°, β = 90.00°, γ = 120.00°
Element x y z (fractional)
Cl  0.0000  0.0000  0.1677
Mg  0.6667  0.3333  0.1658
Tl  0.3333  0.6667  0.6664

Output
- Formation energy from raw total energies: -475.1 meV/atom
- Energy above the most stable polymorph in this dataset: 293.8 meV per atom
- SG: P3m1, No. 156
- Magnetization: 0.00 μB per atom

3.
Computed, not measured: an optimized crystal structure of TiGaPd4 at the GGA-PBE level of DFT.

a = 5.7365 Å, b = 6.2736 Å, c = 7.1418 Å
α = 116.06°, β = 113.68°, γ = 90.00°
Element x y z (fractional)
Ga  0.1173  0.8673  0.7347
Ti  0.6350  0.3850  0.7701
Ti  0.3650  0.6150  0.2299
Pd  0.5001  0.7645  0.0000
Pd  0.7467  0.0000  0.5000
Pd  0.0001  0.7645  0.0000
Ga  0.8827  0.1327  0.2653
Pd  0.7467  0.5000  0.5000
Pd  0.9999  0.2355  0.0000
Pd  0.2533  0.0000  0.5000
Pd  0.4999  0.2355  0.0000
Pd  0.2533  0.5000  0.5000

Output
- Energy above the most stable polymorph in this dataset: 177.1 meV per atom
- SG: Imma, No. 74
- Magnetization: 0.00 μB per atom
- ΔH_f (0 K): -0.421 eV per atom

4.
Computed, not measured: an optimized crystal structure of LiLaTb2S4 at the GGA-PBE level of DFT.

a = 3.9195 Å, b = 6.8553 Å, c = 13.5615 Å
α = 90.00°, β = 90.00°, γ = 106.61°
Element x y z (fractional)
La  0.1213  0.2426  0.7500
Tb  0.6327  0.2655  0.0567
S  0.4546  0.9092  0.7500
S  0.0000  0.0000  0.0000
S  0.0000  0.0000  0.5000
Tb  0.6327  0.2655  0.4433
Tb  0.3673  0.7345  0.5567
S  0.7295  0.4589  0.8765
S  0.5454  0.0908  0.2500
S  0.2705  0.5411  0.3765
Tb  0.3673  0.7345  0.9433
S  0.7295  0.4589  0.6235
La  0.8787  0.7574  0.2500
S  0.2705  0.5411  0.1235
Li  0.8542  0.7085  0.7500
Li  0.1458  0.2915  0.2500

Output
- Formation energy from raw total energies: -1892.7 meV/atom
- SG: Cmcm, No. 63
- Magnetization: 0.00 μB per atom

5.
Computed, not measured: an optimized crystal structure of ZrVCu4 at the GGA-PBE level of DFT.

a = 4.9501 Å, b = 4.9501 Å, c = 4.9501 Å
α = 60.00°, β = 60.00°, γ = 60.00°
Last column: magnetic moment on the atom in μB.
Element x y z (fractional)
Cu  0.6244  0.6244  0.1268  0.10
Cu  0.1268  0.6244  0.6244  0.10
Zr  0.0000  0.0000  0.0000  0.42
Cu  0.6244  0.6244  0.6244  0.10
Cu  0.6244  0.1268  0.6244  0.10
V  0.2500  0.2500  0.2500  2.37

Output
- SG: F-43m, No. 216
- Magnetization: 0.65 μB per atom
- ΔH_f (0 K): -0.003 eV per atom

6.
Computed, not measured: an optimized crystal structure of La2Pm6Sm5 at the GGA-PBE level of DFT.

a = 3.6706 Å, b = 11.9516 Å, c = 20.8387 Å
α = 90.00°, β = 90.00°, γ = 90.00°
Element x y z (fractional)
Sm  0.5000  0.7998  0.0554
La  0.0000  0.6716  0.7188
Pm  0.0000  0.0612  0.0754
Pm  0.5000  0.1803  0.6260
Sm  0.5000  0.7002  0.5554
La  0.0000  0.3284  0.2812
La  0.0000  0.1716  0.7812
Pm  0.0000  0.5612  0.4246
Pm  0.0000  0.0766  0.3634
Sm  0.5000  0.0886  0.2194
Sm  0.5000  0.4114  0.7194
Pm  0.5000  0.3197  0.1260
Sm  0.5000  0.5886  0.2806
Sm  0.5000  0.0000  0.5000
Sm  0.5000  0.5000  0.0000
Sm  0.5000  0.2998  0.4446
Pm  0.0000  0.5766  0.1366
Sm  0.5000  0.2002  0.9446
Pm  0.0000  0.4388  0.5754
Sm  0.5000  0.9114  0.7806
Pm  0.5000  0.8197  0.3740
La  0.0000  0.8284  0.2188
Pm  0.0000  0.9388  0.9246
Pm  0.0000  0.9234  0.6366
Pm  0.0000  0.4234  0.8634
Pm  0.5000  0.6803  0.8740

Output
- SG: Pbam, No. 55
- Magnetization: 0.00 μB per atom
- ΔH_f (0 K): 0.092 eV per atom

| no. | total DFT energy (no corrections) (eV per atom) |
| --- | --- |
| 1 | -6.1930 |
| 2 | -2.4110 |
| 3 | -5.7028 |
| 4 | -5.9691 |
| 5 | -5.6785 |
| 6 | -4.6733 |